VASP calculation (PBEsol) on a geometry-optimized Na4Mn2PC4O16 structure.

Cell: 9.654 9.654 9.759 Å, 118.63 118.63 91.79°
Each line ends with the local moment (μB).
Fractional positions:
Na 0.539 0.039 0.500  0.00
Na 0.955 0.455 0.910  0.00
Na 0.705 0.705 0.410  0.00
Na 0.289 0.289 0.000  0.00
Na 0.961 0.461 0.500  0.00
Na 0.545 0.045 0.090  0.00
Na 0.295 0.295 0.590  0.00
Na 0.711 0.711 0.000  0.00
Mn 0.125 0.875 0.250  3.59
Mn 0.125 0.875 0.750  3.59
Mn 0.625 0.875 0.750  3.59
Mn 0.125 0.375 0.250  3.59
P 0.500 0.500 0.000  -0.02
P 0.750 0.250 0.500  -0.02
C 0.912 0.080 0.816  0.02
C 0.330 0.662 0.316  0.02
C 0.265 0.096 0.184  0.02
C 0.904 0.735 0.816  0.02
C 0.346 0.015 0.684  0.02
C 0.985 0.654 0.316  0.02
C 0.920 0.088 0.184  0.02
C 0.338 0.670 0.684  0.02
O 0.762 0.052 0.781  0.01
O 0.568 0.694 0.128  0.19
O 0.942 0.961 0.707  0.02
O 0.211 0.692 0.207  0.02
O 0.254 0.235 0.293  0.02
O 0.475 0.773 0.450  0.04
O 0.566 0.440 0.872  0.19
O 0.306 0.432 0.872  0.19
O 0.974 0.677 0.450  0.04
O 0.765 0.746 0.707  0.02
O 0.302 0.512 0.281  0.01
O 0.560 0.434 0.128  0.19
O 0.271 0.981 0.219  0.01
O 0.019 0.729 0.781  0.01
O 0.023 0.225 0.950  0.04
O 0.323 0.026 0.550  0.04
O 0.927 0.724 0.950  0.04
O 0.227 0.525 0.550  0.04
O 0.231 0.021 0.719  0.01
O 0.979 0.769 0.281  0.01
O 0.690 0.316 0.372  0.19
O 0.948 0.238 0.219  0.01
O 0.485 0.004 0.793  0.02
O 0.276 0.073 0.050  0.04
O 0.944 0.318 0.628  0.19
O 0.684 0.310 0.628  0.19
O 0.775 0.977 0.050  0.04
O 0.996 0.515 0.207  0.02
O 0.039 0.058 0.293  0.02
O 0.308 0.789 0.793  0.02
O 0.682 0.056 0.372  0.19
O 0.488 0.698 0.719  0.01

Electronic total energy, eV per atom: -7.269
Magnetic moment, μB/f.u.: 8.82
SG: No. 70
Calculated volume, Å³/f.u.: 330

VASP calculation (PBEsol) on a geometry-optimized Fe2SiIrAu structure.

Cell: 4.518 4.518 5.007 Å, 90.00 90.00 90.00°
Each line ends with the local moment (μB).
Fractional positions:
Si 0.500 0.500 0.500  -0.07
Ir 0.000 0.000 0.000  0.46
Au 0.000 0.000 0.500  0.06
Fe 0.000 0.500 0.000  3.07
Fe 0.500 0.000 0.000  3.07

Electronic total energy, eV per atom: -6.023
Magnetic moment, μB/f.u.: 6.67
SG: No. 123
Calculated volume, Å³/f.u.: 102

VASP calculation (PBEsol) on a geometry-optimized Fe2GeO4 structure.

Cell: 5.895 5.895 5.895 Å, 60.00 60.00 60.00°
Each line ends with the local moment (μB).
Fractional positions:
Fe 0.625 0.125 0.625  3.56
Fe 0.625 0.625 0.125  3.56
Fe 0.125 0.625 0.625  3.56
Fe 0.625 0.625 0.625  3.56
Ge 0.250 0.250 0.250  0.05
Ge 0.000 0.000 0.000  0.05
O 0.374 0.374 0.879  0.15
O 0.876 0.371 0.876  0.15
O 0.371 0.876 0.876  0.15
O 0.876 0.876 0.876  0.15
O 0.879 0.374 0.374  0.15
O 0.374 0.374 0.374  0.15
O 0.876 0.876 0.371  0.15
O 0.374 0.879 0.374  0.15

Electronic total energy, eV per atom: -7.526
Magnetic moment, μB/f.u.: 8.00
SG: No. 227
Calculated volume, Å³/f.u.: 72

VASP calculation (PBEsol) on a geometry-optimized ZnCu2Au structure.

Cell: 2.767 3.539 5.436 Å, 90.00 90.00 90.00°
Fractional positions:
Zn 0.000 0.000 0.480
Au 0.500 0.500 0.753
Cu 0.000 0.000 0.022
Cu 0.500 0.500 0.245

Electronic total energy, eV per atom: -3.639
Magnetic moment, μB/f.u.: 0.00
SG: No. 25
Calculated volume, Å³/f.u.: 53
E_form, eV/atom: -0.10

VASP calculation (PBEsol) on a geometry-optimized SbRu2 structure.

Cell: 2.951 3.738 9.448 Å, 101.41 98.99 90.00°
Fractional positions:
Ru 0.042 0.792 0.084
Ru 0.958 0.208 0.916
Ru 0.192 0.942 0.385
Ru 0.808 0.058 0.615
Sb 0.626 0.376 0.252
Sb 0.374 0.624 0.748

Electronic total energy, eV per atom: -7.805
Magnetic moment, μB/f.u.: 0.00
SG: No. 74
Calculated volume, Å³/f.u.: 50

VASP calculation (PBEsol) on a geometry-optimized KPdS3 structure.

Cell: 4.747 4.747 4.747 Å, 90.00 90.00 90.00°
Each line ends with the local moment (μB).
Fractional positions:
K 0.500 0.500 0.500  0.00
S 0.000 0.500 0.000  0.18
S 0.000 0.000 0.500  0.18
S 0.500 0.000 0.000  0.18
Pd 0.000 0.000 0.000  0.13

Electronic total energy, eV per atom: -4.149
Magnetic moment, μB/f.u.: 0.99
SG: No. 221
Calculated volume, Å³/f.u.: 107